A relaxed structure of BeSiPb. Source: the Alexandria database, functional PBE.

```
3
Lattice="6.004 0.037 -0.026 4.156 4.333 0.026 -5.243 -1.807 2.302" Properties=species:S:1:pos:R:3 pbc="T T T"
Be 0.699 0.301 0.000
Si 6.114 2.630 0.000
Pb 3.348 1.440 0.000
```

Computed properties:
distance to the lowest polymorph of the same formula = 231.3 meV/atom
formation energy (no corrections) = 0.5544 eV per atom
uncorrected energy = -3.731 eV per atom
spin magnetization = 0.00 μB/f.u.